[1]
! Mg3CuHg2 PBE optimized geometry; values from VASP
! - DOS(E_F): 0.265 states/eV per atom
! - Space group: No. 65
! - Formation energy: -0.162 eV/atom
! - DFT total energy: -10.46 eV/f.u.
! - Volume: 19.4 Å³/atom
&SYSTEM
  ibrav = 0, nat = 12, ntyp = 3
/
ATOMIC_SPECIES
Mg 24.30 Mg.upf
Hg 200.59 Hg.upf
Cu 63.55 Cu.upf
ATOMIC_POSITIONS angstrom
Mg -2.1784 5.1947 -1.1033
Hg 0.0000 0.0000 0.0000
Mg 2.0257 2.5691 -4.4051
Hg -3.7742 2.9467 0.0097
Mg -1.6638 1.6648 -1.6462
Hg -0.0680 3.9128 -2.7592
Cu 0.4605 0.5753 -3.3043
Mg -5.8679 4.2904 1.6556
Cu -3.3266 -0.4119 -0.4750
Mg 1.4950 6.2096 -3.8453
Mg -5.3372 0.6499 1.0957
Hg -0.4880 3.3481 0.5149
CELL_PARAMETERS angstrom
4.1914 1.5478 -6.0917
-7.0575 -1.3844 2.3125
-0.9761 6.6961 1.0297

***

[2]
! Ta2TiSi PBE optimized geometry; values from VASP
! - DOS(E_F): 0.406 states/eV per atom
! - Space group: No. 122
! - DFT total energy: -35.81 eV/f.u.
! - Volume: 18.2 Å³/atom
&SYSTEM
  ibrav = 0, nat = 8, ntyp = 3
/
ATOMIC_SPECIES
Ti 47.87 Ti.upf
Ta 180.95 Ta.upf
Si 28.09 Si.upf
ATOMIC_POSITIONS angstrom
Ti -7.9632 -2.8212 0.4508
Ta -5.4943 -1.2318 0.5861
Si -5.2262 -6.0921 -2.6739
Ta -6.5968 -5.1035 -0.7999
Ta -3.3446 -4.4332 -2.3985
Ti 0.0000 0.0000 0.0000
Ta -10.9430 -7.0580 -1.8338
Si -4.4885 -2.4169 -1.4018
CELL_PARAMETERS angstrom
-7.2256 0.8539 1.7229
-1.7515 -5.6877 -4.5265
-4.2124 -4.0795 0.5805

***

[3]
! Ho8Er5Mg PBE optimized geometry; values from VASP
! - DOS(E_F): 1.383 states/eV per atom
! - Space group: No. 82
! - Formation energy: 0.237 eV/atom
! - DFT total energy: -57.71 eV/f.u.
! - Volume: 31.9 Å³/atom
&SYSTEM
  ibrav = 0, nat = 14, ntyp = 3
/
ATOMIC_SPECIES
Ho 164.93 Ho.upf
Er 167.26 Er.upf
Mg 24.30 Mg.upf
ATOMIC_POSITIONS angstrom
Ho -1.3197 -0.2921 2.8469
Er -0.8051 -2.1900 0.1978
Er -0.9731 2.5027 4.1401
Ho -3.3055 -4.2651 -1.0999
Er -7.5388 -1.2928 -0.0535
Ho -3.8468 2.2554 2.5396
Ho -3.4031 -3.9021 4.4603
Ho -4.1856 -1.4071 0.9413
Er 1.6437 0.0020 7.2038
Ho -3.1420 4.2831 5.4553
Mg -0.4379 -2.8120 4.5379
Er -4.4700 -0.6954 4.3146
Ho -1.3828 -5.2580 1.7790
Ho -1.7551 0.2334 6.4026
CELL_PARAMETERS angstrom
-5.6825 6.0387 0.8956
-3.6390 -7.0936 -2.4488
3.7363 -1.0332 7.3845

***

Q: Look up the volume of the first one.
A: 19.4 Å³/atom

***

Q: Among the records above, which one has the highest DOS(E_F)?
A: Ho8Er5Mg

***

Please write out number 2 again, unchanged.
! Ta2TiSi PBE optimized geometry; values from VASP
! - DOS(E_F): 0.406 states/eV per atom
! - Space group: No. 122
! - DFT total energy: -35.81 eV/f.u.
! - Volume: 18.2 Å³/atom
&SYSTEM
  ibrav = 0, nat = 8, ntyp = 3
/
ATOMIC_SPECIES
Ti 47.87 Ti.upf
Ta 180.95 Ta.upf
Si 28.09 Si.upf
ATOMIC_POSITIONS angstrom
Ti -7.9632 -2.8212 0.4508
Ta -5.4943 -1.2318 0.5861
Si -5.2262 -6.0921 -2.6739
Ta -6.5968 -5.1035 -0.7999
Ta -3.3446 -4.4332 -2.3985
Ti 0.0000 0.0000 0.0000
Ta -10.9430 -7.0580 -1.8338
Si -4.4885 -2.4169 -1.4018
CELL_PARAMETERS angstrom
-7.2256 0.8539 1.7229
-1.7515 -5.6877 -4.5265
-4.2124 -4.0795 0.5805

***

Q: volume of number 1 (Mg3CuHg2)?
A: 19.4 Å³/atom